This record from Alexandria describes a geometry-optimized CoTeC3 structure. The functional is PBE-GGA.

The structure in POSCAR format:
```
CoTeC3
1.0
3.872 0.000 0.000
0.000 3.872 0.000
0.000 0.000 3.872
Co Te C
1 1 3
Cartesian
0.000 0.000 0.000 Co
1.936 1.936 1.936 Te
0.000 0.000 1.936 C
0.000 1.936 0.000 C
1.936 0.000 0.000 C
```

The value obtained for the density of states at the Fermi level is 2.9 states/eV/cell. As for the energy above the most stable polymorph in this dataset: 0 meV/atom. As for the space group: No. 221. The calculation puts the uncorrected formation energy at 10.72 eV per formula unit.

=====

This record from Alexandria describes a geometry-optimized CoTe3C structure. The functional is PBE-GGA.

The structure in POSCAR format:
```
CoTe3C
1.0
4.718 0.000 0.000
0.000 4.718 0.000
0.000 0.000 4.718
Co Te C
1 3 1
Cartesian
0.000 0.000 0.000 Co
0.000 2.359 2.359 Te
2.359 0.000 2.359 Te
2.359 2.359 0.000 Te
2.359 2.359 2.359 C
```

The value obtained for the density of states at the Fermi level is 4.5 states/eV/cell. As for the energy above the most stable polymorph in this dataset: 0 meV/atom. As for the space group: No. 221. The calculation puts the uncorrected formation energy at 6.62 eV per formula unit.

=====

This record from Alexandria describes a geometry-optimized Co3TeC structure. The functional is PBE-GGA.

The structure in POSCAR format:
```
Co3TeC
1.0
3.912 0.000 0.000
0.000 3.912 0.000
0.000 0.000 3.912
Co Te C
3 1 1
Cartesian
0.000 0.000 1.956 Co
0.000 1.956 0.000 Co
1.956 0.000 0.000 Co
1.956 1.956 1.956 Te
0.000 0.000 0.000 C
```

The value obtained for the density of states at the Fermi level is 7.1 states/eV/cell. As for the energy above the most stable polymorph in this dataset: 0 meV/atom. As for the space group: No. 221. The calculation puts the uncorrected formation energy at 1.44 eV per formula unit.

=====

This record from Alexandria describes a geometry-optimized Th6Co2TeC3 structure. The functional is PBE-GGA.

The structure in POSCAR format:
```
Th6Co2TeC3
1.0
9.415 -1.951 0.000
9.415 1.951 0.000
-3.274 0.000 7.480
Th Co Te C
6 2 1 3
Cartesian
-0.411 0.000 1.668 Th
4.517 0.000 3.061 Th
3.686 0.000 6.701 Th
11.871 0.000 0.779 Th
11.040 0.000 4.419 Th
15.968 0.000 5.813 Th
1.182 0.000 6.992 Co
14.374 0.000 0.488 Co
7.778 0.000 3.740 Te
1.969 0.000 2.642 C
9.415 0.000 0.000 C
13.588 0.000 4.838 C
```

The value obtained for the density of states at the Fermi level is 6.8 states/eV/cell. As for the space group: No. 12. The calculation puts the uncorrected formation energy at -3.89 eV per formula unit.

=====

This record from Alexandria describes a geometry-optimized Th3CoTeC structure. The functional is PBE-GGA.

The structure in POSCAR format:
```
Th3CoTeC
1.0
8.788 0.000 0.000
0.000 3.879 0.000
-2.720 0.000 8.418
Th Co Te C
6 2 2 2
Cartesian
-0.420 0.970 2.313 Th
2.400 2.909 1.109 Th
1.613 2.909 4.633 Th
4.455 0.970 3.786 Th
3.668 0.970 7.309 Th
6.488 2.909 6.105 Th
-2.021 0.970 7.988 Co
8.088 2.909 0.430 Co
0.379 0.970 6.950 Te
5.689 2.909 1.468 Te
2.035 0.970 2.944 C
4.033 2.909 5.474 C
```

The value obtained for the density of states at the Fermi level is 8.9 states/eV/cell. As for the space group: No. 11. The calculation puts the uncorrected formation energy at -3.48 eV per formula unit.

=====

This record from Alexandria describes a geometry-optimized ThCo2C2 structure. The functional is PBE-GGA.

The structure in POSCAR format:
```
ThCo2C2
1.0
2.384 -2.385 0.000
2.384 2.385 0.000
-2.373 0.000 5.241
Th Co C
1 2 2
Cartesian
0.000 0.000 0.000 Th
1.198 1.193 2.620 Co
1.198 -1.193 2.620 Co
0.005 0.000 3.646 C
2.391 0.000 1.594 C
```

The value obtained for the density of states at the Fermi level is 3.9 states/eV/cell. The formation energy from the elements is -0.152 eV/atom. As for the space group: No. 12.

=====

What did the third record say?
This record from Alexandria describes a geometry-optimized Co3TeC structure. The functional is PBE-GGA.

The structure in POSCAR format:
```
Co3TeC
1.0
3.912 0.000 0.000
0.000 3.912 0.000
0.000 0.000 3.912
Co Te C
3 1 1
Cartesian
0.000 0.000 1.956 Co
0.000 1.956 0.000 Co
1.956 0.000 0.000 Co
1.956 1.956 1.956 Te
0.000 0.000 0.000 C
```

The value obtained for the density of states at the Fermi level is 7.1 states/eV/cell. As for the energy above the most stable polymorph in this dataset: 0 meV/atom. As for the space group: No. 221. The calculation puts the uncorrected formation energy at 1.44 eV per formula unit.

=====

Please write out number 2 again, unchanged.
This record from Alexandria describes a geometry-optimized CoTe3C structure. The functional is PBE-GGA.

The structure in POSCAR format:
```
CoTe3C
1.0
4.718 0.000 0.000
0.000 4.718 0.000
0.000 0.000 4.718
Co Te C
1 3 1
Cartesian
0.000 0.000 0.000 Co
0.000 2.359 2.359 Te
2.359 0.000 2.359 Te
2.359 2.359 0.000 Te
2.359 2.359 2.359 C
```

The value obtained for the density of states at the Fermi level is 4.5 states/eV/cell. As for the energy above the most stable polymorph in this dataset: 0 meV/atom. As for the space group: No. 221. The calculation puts the uncorrected formation energy at 6.62 eV per formula unit.